--- w ---
Entry from the Alexandria database: a crystal of La2HgSe relaxed with PBEsol (SCAN).

```
La2HgSe
1.0
-3.540 0.827 3.081
-2.217 -4.421 2.325
1.068 -1.178 5.228
Hg La Se
1 2 1
Cartesian
-0.574 -2.799 3.777
-1.725 -4.049 6.475
-2.963 -0.722 4.159
-1.770 0.414 1.540
```

Values from the calculation:
D(E_F) ... 3.599 states/eV per cell

--- x ---
Entry from the Alexandria database: a crystal of La2HgSe relaxed with PBEsol (SCAN).

```
La2HgSe
1.0
4.238 0.000 0.000
2.119 3.671 0.000
2.119 1.224 7.600
Se Hg La
1 1 2
Cartesian
0.000 0.000 0.000
4.238 2.447 3.800
6.358 3.671 5.866
2.119 1.224 1.735
```

Values from the calculation:
D(E_F) ... 2.284 states/eV per cell

Verdict on stability: w comes out at the bottom.